(1)
This record from Alexandria describes a relaxed HgPW crystal. The functional is PBE.

a b c (Å): 3.173 3.173 10.439
angles (deg): 90.00 90.00 90.00
Sites, in units of the cell vectors:
Hg 0.000 0.000 0.000
Hg 0.500 0.500 0.500
P 0.000 0.000 0.299
P 0.500 0.500 0.799
W 0.000 0.000 0.701
W 0.500 0.500 0.201

Properties
Total magnetic moment in μB per atom: 0.00
Polymorph energy (0 for the lowest one) in meV per atom: 8

---

(2)
This record from Alexandria describes a relaxed YAs2W crystal. The functional is PBE.

a b c (Å): 3.449 3.586 12.989
angles (deg): 90.00 90.00 90.00
Sites, in units of the cell vectors:
Y 0.000 0.000 0.000
Y 0.500 0.500 0.500
As 0.000 0.000 0.607
As 0.000 0.500 0.827
As 0.500 0.000 0.327
As 0.500 0.500 0.107
W 0.000 0.500 0.249
W 0.500 0.000 0.749

Properties
Total magnetic moment in μB per atom: 0.00
Polymorph energy (0 for the lowest one) in meV per atom: 0

---

(3)
This record from Alexandria describes a relaxed Mg2BeInBi crystal. The functional is PBE.

a b c (Å): 5.202 5.202 6.071
angles (deg): 90.00 90.00 90.00
Sites, in units of the cell vectors:
Mg 0.000 0.500 0.000
Mg 0.500 0.000 0.000
Be 0.000 0.000 0.500
In 0.500 0.500 0.000
Bi 0.500 0.500 0.500

Properties
Total magnetic moment in μB per atom: 0.00

---

(4)
This record from Alexandria describes a relaxed Ac6SmEr2 crystal. The functional is PBE.

a b c (Å): 9.288 9.288 10.077
angles (deg): 98.46 98.46 61.22
Sites, in units of the cell vectors:
Ac 0.085 0.644 0.482
Ac 0.095 0.704 0.874
Ac 0.296 0.905 0.626
Ac 0.314 0.446 0.167
Ac 0.356 0.915 0.018
Ac 0.446 0.314 0.667
Ac 0.554 0.686 0.333
Ac 0.644 0.085 0.982
Ac 0.686 0.554 0.833
Ac 0.704 0.095 0.374
Ac 0.905 0.296 0.126
Ac 0.915 0.356 0.518
Sm 0.102 0.898 0.250
Sm 0.898 0.102 0.750
Er 0.140 0.296 0.852
Er 0.296 0.140 0.352
Er 0.704 0.860 0.648
Er 0.860 0.704 0.148

Properties
Total magnetic moment in μB per atom: 0.00

---

(5)
This record from Alexandria describes a relaxed Ti2CrCdFe crystal. The functional is PBE.

a b c (Å): 4.563 4.563 4.215
angles (deg): 90.00 90.00 90.00
Sites, in units of the cell vectors:
Ti 0.000 0.500 0.000
Ti 0.500 0.000 0.000
Cr 0.000 0.000 0.000
Cd 0.500 0.500 0.500
Fe 0.000 0.000 0.500

Properties
Total magnetic moment in μB per atom: 0.14

---

(6)
This record from Alexandria describes a relaxed TaSn2PdAu crystal. The functional is PBE.

a b c (Å): 5.098 5.098 4.953
angles (deg): 90.00 90.00 90.00
Sites, in units of the cell vectors:
Ta 0.000 0.000 0.000
Sn 0.000 0.500 0.500
Sn 0.500 0.000 0.500
Pd 0.500 0.500 0.000
Au 0.500 0.500 0.500

Properties
Total magnetic moment in μB per atom: 0.00

---

Number 1: formation energy from the elements 0.298 eV per atom. Number 2: formation energy from the elements -0.439 eV per atom. Number 3: formation energy from the elements 0.937 eV per atom. Number 4: formation energy from the elements 0.166 eV per atom. Number 5: formation energy from the elements 0.594 eV per atom. Number 6: formation energy from the elements 1.159 eV per atom.